(1)
# GGA-PBE BaH2OsO4, relaxed
data_BaH2OsO4
_space_group_name_H-M_alt 'P 1'
_space_group_IT_number 1
_space_group_name_Hall 'P 1'
_cell_length_a 4.9536
_cell_length_b 5.3125
_cell_length_c 5.3125
_cell_angle_alpha 68.41
_cell_angle_beta 62.21
_cell_angle_gamma 62.21
loop_
_atom_site_label
_atom_site_type_symbol
_atom_site_fract_x
_atom_site_fract_y
_atom_site_fract_z
H1 H 0.8420 0.6580 0.6580
O1 O 0.9445 0.4119 0.2518
H2 H 0.1580 0.3420 0.3420
O2 O 0.6083 0.5881 0.7482
Ba1 Ba 0.0000 0.0000 0.0000
O3 O 0.0555 0.7482 0.5881
Os1 Os 0.5000 0.5000 0.5000
O4 O 0.3917 0.2518 0.4119
# - Calculated volume: 13.42 A^3/atom
# - VASP energy: -49.8 eV/cell
# - DOS(E_F): 3.72 states/eV/f.u.
# - Total magnetic moment: 0.000 Bohr magnetons per cell

(2)
# GGA-PBE CuB3Pd, relaxed
data_CuB3Pd
_space_group_name_H-M_alt 'P 1'
_space_group_IT_number 1
_space_group_name_Hall 'P 1'
_cell_length_a 3.8326
_cell_length_b 3.8326
_cell_length_c 3.8326
_cell_angle_alpha 90.00
_cell_angle_beta 90.00
_cell_angle_gamma 90.00
loop_
_atom_site_label
_atom_site_type_symbol
_atom_site_fract_x
_atom_site_fract_y
_atom_site_fract_z
B1 B 0.0000 0.5000 0.0000
Pd1 Pd 0.5000 0.5000 0.5000
B2 B 0.0000 0.0000 0.5000
Cu1 Cu 0.0000 0.0000 0.0000
B3 B 0.5000 0.0000 0.0000
# - Relative energy among the computed polymorphs: 0.0 meV/atom
# - Calculated volume: 11.26 A^3/atom
# - ΔH_f (0 K): 138 kJ/mol of atoms
# - DOS(E_F): 1.37 states/eV/f.u.
# - Total magnetic moment: 0.000 Bohr magnetons per cell

(3)
# GGA-PBE Sr2TcPb, relaxed
data_Sr2TcPb
_space_group_name_H-M_alt 'P 1'
_space_group_IT_number 1
_space_group_name_Hall 'P 1'
_cell_length_a 5.3868
_cell_length_b 5.3868
_cell_length_c 5.3868
_cell_angle_alpha 60.00
_cell_angle_beta 60.00
_cell_angle_gamma 60.00
loop_
_atom_site_label
_atom_site_type_symbol
_atom_site_fract_x
_atom_site_fract_y
_atom_site_fract_z
Pb1 Pb 0.5000 0.5000 0.5000
Tc1 Tc 0.7500 0.7500 0.7500
Sr1 Sr 0.2500 0.2500 0.2500
Sr2 Sr 0.0000 0.0000 0.0000
# - Calculated volume: 27.63 A^3/atom
# - ΔH_f (0 K): 43 kJ/mol of atoms
# - DOS(E_F): 5.72 states/eV/f.u.
# - Total magnetic moment: 2.531 Bohr magnetons per cell

(4)
# GGA-PBE ZnReTc3, relaxed
data_ZnReTc3
_space_group_name_H-M_alt 'P 1'
_space_group_IT_number 1
_space_group_name_Hall 'P 1'
_cell_length_a 4.6955
_cell_length_b 4.6955
_cell_length_c 4.6955
_cell_angle_alpha 90.00
_cell_angle_beta 90.00
_cell_angle_gamma 90.00
loop_
_atom_site_label
_atom_site_type_symbol
_atom_site_fract_x
_atom_site_fract_y
_atom_site_fract_z
Zn1 Zn 0.5000 0.5000 0.5000
Tc1 Tc 0.0000 0.0000 0.5000
Tc2 Tc 0.0000 0.5000 0.0000
Re1 Re 0.0000 0.0000 0.0000
Tc3 Tc 0.5000 0.0000 0.0000
# - Relative energy among the computed polymorphs: 0.0 meV/atom
# - Calculated volume: 20.71 A^3/atom
# - ΔH_f (0 K): 161 kJ/mol of atoms
# - DOS(E_F): 4.77 states/eV/f.u.
# - Total magnetic moment: 1.981 Bohr magnetons per cell

(5)
# GGA-PBE YInSb2, relaxed
data_YInSb2
_space_group_name_H-M_alt 'P 1'
_space_group_IT_number 1
_space_group_name_Hall 'P 1'
_cell_length_a 7.9337
_cell_length_b 7.9337
_cell_length_c 7.9337
_cell_angle_alpha 31.34
_cell_angle_beta 31.34
_cell_angle_gamma 31.34
loop_
_atom_site_label
_atom_site_type_symbol
_atom_site_fract_x
_atom_site_fract_y
_atom_site_fract_z
In1 In 0.7500 0.7500 0.7500
Y1 Y 0.2500 0.2500 0.2500
Sb1 Sb 0.4984 0.4984 0.4984
Sb2 Sb 0.0016 0.0016 0.0016
# - Calculated volume: 29.97 A^3/atom
# - Uncorrected formation energy: -395 meV/atom
# - DOS(E_F): 2.82 states/eV/f.u.
# - Total magnetic moment: 0.000 Bohr magnetons per cell

(6)
# GGA-PBE VCuTcAg2, relaxed
data_VCuTcAg2
_space_group_name_H-M_alt 'P 1'
_space_group_IT_number 1
_space_group_name_Hall 'P 1'
_cell_length_a 5.1199
_cell_length_b 4.2519
_cell_length_c 5.1199
_cell_angle_alpha 90.00
_cell_angle_beta 90.00
_cell_angle_gamma 90.00
loop_
_atom_site_label
_atom_site_type_symbol
_atom_site_fract_x
_atom_site_fract_y
_atom_site_fract_z
Ag1 Ag 0.5000 0.0000 0.0000
Ag2 Ag 0.0000 0.0000 0.5000
Tc1 Tc 0.0000 0.0000 0.0000
Cu1 Cu 0.5000 0.5000 0.5000
V1 V 0.0000 0.5000 0.0000
# - Calculated volume: 22.29 A^3/atom
# - ΔH_f (0 K): 134 kJ/mol of atoms
# - DOS(E_F): 4.70 states/eV/f.u.
# - Total magnetic moment: 0.000 Bohr magnetons per cell

(7)
# GGA-PBE YIn2Ni, relaxed
data_YIn2Ni
_space_group_name_H-M_alt 'P 1'
_space_group_IT_number 1
_space_group_name_Hall 'P 1'
_cell_length_a 4.4193
_cell_length_b 4.4193
_cell_length_c 5.8809
_cell_angle_alpha 67.89
_cell_angle_beta 67.89
_cell_angle_gamma 60.00
loop_
_atom_site_label
_atom_site_type_symbol
_atom_site_fract_x
_atom_site_fract_y
_atom_site_fract_z
In1 In 0.5315 0.5315 0.4055
In2 In 0.9685 0.9685 0.0945
Ni1 Ni 0.2500 0.2500 0.2500
Y1 Y 0.7500 0.7500 0.7500
# - Calculated volume: 22.40 A^3/atom
# - ΔH_f (0 K): -26 kJ/mol of atoms
# - DOS(E_F): 3.43 states/eV/f.u.
# - Total magnetic moment: 0.000 Bohr magnetons per cell

(8)
# GGA-PBE Ag2Pd4Au3, relaxed
data_Ag2Pd4Au3
_space_group_name_H-M_alt 'P 1'
_space_group_IT_number 1
_space_group_name_Hall 'P 1'
_cell_length_a 4.9523
_cell_length_b 7.4521
_cell_length_c 8.8855
_cell_angle_alpha 73.81
_cell_angle_beta 74.16
_cell_angle_gamma 89.72
loop_
_atom_site_label
_atom_site_type_symbol
_atom_site_fract_x
_atom_site_fract_y
_atom_site_fract_z
Pd1 Pd 0.5024 0.9163 0.1663
Pd2 Pd 0.4976 0.0837 0.8337
Au1 Au 0.0534 0.9732 0.7243
Au2 Au 0.9466 0.0268 0.2757
Au3 Au 0.6049 0.6968 0.9488
Au4 Au 0.2790 0.3626 0.6117
Au5 Au 0.3951 0.3032 0.0512
Pd3 Pd 0.7236 0.4700 0.7230
Ag1 Ag 0.1635 0.5838 0.8323
Ag2 Ag 0.3855 0.1392 0.3894
Pd4 Pd 0.9430 0.1916 0.9432
Pd5 Pd 0.2764 0.5300 0.2770
Pd6 Pd 0.0570 0.8084 0.0568
Pd7 Pd 0.1671 0.7480 0.4970
Pd8 Pd 0.8329 0.2520 0.5030
Au6 Au 0.7210 0.6374 0.3883
Ag3 Ag 0.8365 0.4162 0.1677
Ag4 Ag 0.6145 0.8608 0.6106
# - Relative energy among the computed polymorphs: 15.8 meV/atom
# - Calculated volume: 16.78 A^3/atom
# - ΔH_f (0 K): -6 kJ/mol of atoms
# - DOS(E_F): 5.81 states/eV/f.u.
# - Total magnetic moment: 0.000 Bohr magnetons per cell

(9)
# GGA-PBE RbLaGe, relaxed
data_RbLaGe
_space_group_name_H-M_alt 'P 1'
_space_group_IT_number 1
_space_group_name_Hall 'P 1'
_cell_length_a 13.4552
_cell_length_b 5.6000
_cell_length_c 7.7244
_cell_angle_alpha 90.00
_cell_angle_beta 105.92
_cell_angle_gamma 90.00
loop_
_atom_site_label
_atom_site_type_symbol
_atom_site_fract_x
_atom_site_fract_y
_atom_site_fract_z
La1 La 0.8253 0.0000 0.0818
Ge1 Ge 0.7805 0.5000 0.9510
Ge2 Ge 0.7805 0.0000 0.4510
La2 La 0.0186 0.5000 0.9574
Rb1 Rb 0.2664 0.5000 0.5155
Rb2 Rb 0.5772 0.5000 0.1539
Rb3 Rb 0.2664 0.0000 0.0155
Rb4 Rb 0.5772 0.0000 0.6539
La3 La 0.8253 0.5000 0.5818
La4 La 0.0186 0.0000 0.4574
Ge3 Ge 0.9450 0.0000 0.7808
Ge4 Ge 0.9450 0.5000 0.2808
# - Relative energy among the computed polymorphs: 139.8 meV/atom
# - Calculated volume: 46.64 A^3/atom
# - ΔH_f (0 K): -25 kJ/mol of atoms
# - DOS(E_F): 1.69 states/eV/f.u.
# - Total magnetic moment: 0.000 Bohr magnetons per cell

(10)
# GGA-PBE As2WCl, relaxed
data_As2WCl
_space_group_name_H-M_alt 'P 1'
_space_group_IT_number 1
_space_group_name_Hall 'P 1'
_cell_length_a 4.8372
_cell_length_b 4.8372
_cell_length_c 7.1997
_cell_angle_alpha 76.96
_cell_angle_beta 76.96
_cell_angle_gamma 40.14
loop_
_atom_site_label
_atom_site_type_symbol
_atom_site_fract_x
_atom_site_fract_y
_atom_site_fract_z
As1 As 0.0750 0.0750 0.8920
W1 W 0.7876 0.7876 0.8624
Cl1 Cl 0.4088 0.4088 0.6036
As2 As 0.2286 0.2286 0.1421
# - Relative energy among the computed polymorphs: 0.0 meV/atom
# - Calculated volume: 26.36 A^3/atom
# - Uncorrected formation energy: -22 meV/atom
# - DOS(E_F): 1.94 states/eV/f.u.
# - Total magnetic moment: 0.000 Bohr magnetons per cell